(1)
Rb2Na2Sm: relaxed, PBE.

Output
Energy   -1.438 eV/atom
Spin magnetization   0.175 μB/atom

CIF file:
```
data_Rb2Na2Sm
_chemical_formula_sum 'Rb4 Na4 Sm2'
_space_group_name_H-M_alt 'P 1'
_space_group_IT_number 1
_space_group_name_Hall 'P 1'
_cell_length_a 4.346
_cell_length_b 4.346
_cell_length_c 27.123
_cell_angle_alpha 90.00
_cell_angle_beta 90.00
_cell_angle_gamma 120.00
loop_
_atom_site_label
_atom_site_type_symbol
_atom_site_fract_x
_atom_site_fract_y
_atom_site_fract_z
Sm1 Sm 0.000 0.000 0.000
Na1 Na 0.667 0.333 0.586
Na2 Na 0.667 0.333 0.914
Rb1 Rb 0.667 0.333 0.317
Sm2 Sm 0.000 0.000 0.500
Na3 Na 0.333 0.667 0.086
Rb2 Rb 0.667 0.333 0.183
Na4 Na 0.333 0.667 0.414
Rb3 Rb 0.333 0.667 0.683
Rb4 Rb 0.333 0.667 0.817
```

=====

(2)
RbNaZnSn: relaxed, PBE.

Output
Energy   -2.001 eV/atom

CIF file:
```
data_RbNaZnSn
_chemical_formula_sum 'Rb2 Na2 Zn2 Sn2'
_space_group_name_H-M_alt 'P 1'
_space_group_IT_number 1
_space_group_name_Hall 'P 1'
_cell_length_a 6.028
_cell_length_b 6.863
_cell_length_c 6.863
_cell_angle_alpha 103.75
_cell_angle_beta 90.00
_cell_angle_gamma 90.00
loop_
_atom_site_label
_atom_site_type_symbol
_atom_site_fract_x
_atom_site_fract_y
_atom_site_fract_z
Sn1 Sn 0.500 0.230 0.230
Zn1 Zn 0.258 0.490 0.490
Sn2 Sn 0.000 0.739 0.739
Zn2 Zn 0.742 0.490 0.490
Rb1 Rb 0.500 0.040 0.685
Na1 Na 0.000 0.325 0.002
Na2 Na 0.000 0.002 0.325
Rb2 Rb 0.500 0.685 0.040
```

=====

(3)
RbNa3Zn2Sn2: relaxed, PBE.

Output
Energy   -2.061 eV/atom

CIF file:
```
data_RbNa3Zn2Sn2
_chemical_formula_sum 'Rb1 Na3 Zn2 Sn2'
_space_group_name_H-M_alt 'P 1'
_space_group_IT_number 1
_space_group_name_Hall 'P 1'
_cell_length_a 6.273
_cell_length_b 5.860
_cell_length_c 6.827
_cell_angle_alpha 90.00
_cell_angle_beta 104.22
_cell_angle_gamma 90.00
loop_
_atom_site_label
_atom_site_type_symbol
_atom_site_fract_x
_atom_site_fract_y
_atom_site_fract_z
Na1 Na 0.679 0.000 0.024
Sn1 Sn 0.750 0.500 0.784
Zn1 Zn 0.491 0.253 0.501
Na2 Na 0.969 0.500 0.307
Zn2 Zn 0.491 0.747 0.501
Na3 Na 0.331 0.500 0.995
Sn2 Sn 0.245 0.000 0.212
Rb1 Rb 0.043 0.000 0.674
```

=====

(4)
RbNaTa: relaxed, PBE.

Output
Spin magnetization   1.570 μB/atom
ΔE to the lowest computed polymorph   0.0 meV/atom

CIF file:
```
data_RbNaTa
_chemical_formula_sum 'Rb1 Na1 Ta1'
_space_group_name_H-M_alt 'P 1'
_space_group_IT_number 1
_space_group_name_Hall 'P 1'
_cell_length_a 5.637
_cell_length_b 5.637
_cell_length_c 5.637
_cell_angle_alpha 60.00
_cell_angle_beta 60.00
_cell_angle_gamma 60.00
loop_
_atom_site_label
_atom_site_type_symbol
_atom_site_fract_x
_atom_site_fract_y
_atom_site_fract_z
Ta1 Ta 0.750 0.750 0.750
Na1 Na 0.000 0.000 0.000
Rb1 Rb 0.250 0.250 0.250
```

=====

(5)
RbNaTb: relaxed, PBE.

Output
Energy   -1.209 eV/atom
Spin magnetization   0.166 μB/atom

CIF file:
```
data_RbNaTb
_chemical_formula_sum 'Rb1 Na1 Tb1'
_space_group_name_H-M_alt 'P 1'
_space_group_IT_number 1
_space_group_name_Hall 'P 1'
_cell_length_a 6.015
_cell_length_b 6.015
_cell_length_c 6.015
_cell_angle_alpha 60.00
_cell_angle_beta 60.00
_cell_angle_gamma 60.00
loop_
_atom_site_label
_atom_site_type_symbol
_atom_site_fract_x
_atom_site_fract_y
_atom_site_fract_z
Rb1 Rb 0.000 0.000 0.000
Tb1 Tb 0.750 0.750 0.750
Na1 Na 0.250 0.250 0.250
```

=====

(6)
RbNaTc: relaxed, PBE.

Output
Spin magnetization   1.028 μB/atom
ΔE to the lowest computed polymorph   0.0 meV/atom

CIF file:
```
data_RbNaTc
_chemical_formula_sum 'Rb1 Na1 Tc1'
_space_group_name_H-M_alt 'P 1'
_space_group_IT_number 1
_space_group_name_Hall 'P 1'
_cell_length_a 5.585
_cell_length_b 5.585
_cell_length_c 5.585
_cell_angle_alpha 60.00
_cell_angle_beta 60.00
_cell_angle_gamma 60.00
loop_
_atom_site_label
_atom_site_type_symbol
_atom_site_fract_x
_atom_site_fract_y
_atom_site_fract_z
Na1 Na 0.250 0.250 0.250
Tc1 Tc 0.000 0.000 0.000
Rb1 Rb 0.750 0.750 0.750
```

=====

(7)
RbNaTc: relaxed, PBE.

Output
Spin magnetization   1.057 μB/atom
ΔE to the lowest computed polymorph   183.0 meV/atom

CIF file:
```
data_RbNaTc
_chemical_formula_sum 'Rb1 Na1 Tc1'
_space_group_name_H-M_alt 'P 1'
_space_group_IT_number 1
_space_group_name_Hall 'P 1'
_cell_length_a 5.578
_cell_length_b 5.578
_cell_length_c 5.578
_cell_angle_alpha 60.00
_cell_angle_beta 60.00
_cell_angle_gamma 60.00
loop_
_atom_site_label
_atom_site_type_symbol
_atom_site_fract_x
_atom_site_fract_y
_atom_site_fract_z
Rb1 Rb 0.000 0.000 0.000
Na1 Na 0.250 0.250 0.250
Tc1 Tc 0.750 0.750 0.750
```

=====

(8)
RbNaUTe3: relaxed, PBE.

Output
Energy   -4.632 eV/atom
Spin magnetization   0.334 μB/atom

CIF file:
```
data_RbNaUTe3
_chemical_formula_sum 'Rb2 Na2 U2 Te6'
_space_group_name_H-M_alt 'P 1'
_space_group_IT_number 1
_space_group_name_Hall 'P 1'
_cell_length_a 8.327
_cell_length_b 8.327
_cell_length_c 12.099
_cell_angle_alpha 90.00
_cell_angle_beta 90.00
_cell_angle_gamma 147.77
loop_
_atom_site_label
_atom_site_type_symbol
_atom_site_fract_x
_atom_site_fract_y
_atom_site_fract_z
Te1 Te 0.128 0.872 0.974
Rb1 Rb 0.767 0.233 0.750
Na1 Na 0.058 0.942 0.750
Te2 Te 0.555 0.445 0.250
U1 U 0.500 0.500 0.000
Te3 Te 0.128 0.872 0.526
Te4 Te 0.445 0.555 0.750
Te5 Te 0.872 0.128 0.026
Rb2 Rb 0.233 0.767 0.250
U2 U 0.500 0.500 0.500
Na2 Na 0.942 0.058 0.250
Te6 Te 0.872 0.128 0.474
```

=====

(9)
RbNaTh: relaxed, PBE.

Output
Spin magnetization   0.819 μB/atom
ΔE to the lowest computed polymorph   0.0 meV/atom

CIF file:
```
data_RbNaTh
_chemical_formula_sum 'Rb1 Na1 Th1'
_space_group_name_H-M_alt 'P 1'
_space_group_IT_number 1
_space_group_name_Hall 'P 1'
_cell_length_a 6.098
_cell_length_b 6.098
_cell_length_c 6.098
_cell_angle_alpha 60.00
_cell_angle_beta 60.00
_cell_angle_gamma 60.00
loop_
_atom_site_label
_atom_site_type_symbol
_atom_site_fract_x
_atom_site_fract_y
_atom_site_fract_z
Rb1 Rb 0.000 0.000 0.000
Na1 Na 0.500 0.500 0.500
Th1 Th 0.250 0.250 0.250
```

=====

(10)
RbNaU: relaxed, PBE.

Output
Energy   -2.700 eV/atom
Spin magnetization   1.575 μB/atom

CIF file:
```
data_RbNaU
_chemical_formula_sum 'Rb1 Na1 U1'
_space_group_name_H-M_alt 'P 1'
_space_group_IT_number 1
_space_group_name_Hall 'P 1'
_cell_length_a 6.131
_cell_length_b 6.131
_cell_length_c 6.131
_cell_angle_alpha 60.00
_cell_angle_beta 60.00
_cell_angle_gamma 60.00
loop_
_atom_site_label
_atom_site_type_symbol
_atom_site_fract_x
_atom_site_fract_y
_atom_site_fract_z
U1 U 0.000 0.000 0.000
Na1 Na 0.250 0.250 0.250
Rb1 Rb 0.750 0.750 0.750
```

=====

(11)
RbNa2W3: relaxed, PBE.

Output
Energy   -5.701 eV/atom
Spin magnetization   0.000 μB/atom

CIF file:
```
data_RbNa2W3
_chemical_formula_sum 'Rb1 Na2 W3'
_space_group_name_H-M_alt 'P 1'
_space_group_IT_number 1
_space_group_name_Hall 'P 1'
_cell_length_a 5.245
_cell_length_b 5.245
_cell_length_c 5.814
_cell_angle_alpha 90.00
_cell_angle_beta 90.00
_cell_angle_gamma 119.97
loop_
_atom_site_label
_atom_site_type_symbol
_atom_site_fract_x
_atom_site_fract_y
_atom_site_fract_z
Rb1 Rb 0.000 0.000 0.000
W1 W 0.000 0.500 0.500
W2 W 0.500 0.500 0.500
Na1 Na 0.667 0.333 0.000
W3 W 0.500 0.000 0.500
Na2 Na 0.333 0.667 0.000
```

=====

(12)
RbNaW: relaxed, PBE.

Output
Energy   -2.951 eV/atom
Spin magnetization   1.678 μB/atom

CIF file:
```
data_RbNaW
_chemical_formula_sum 'Rb1 Na1 W1'
_space_group_name_H-M_alt 'P 1'
_space_group_IT_number 1
_space_group_name_Hall 'P 1'
_cell_length_a 5.591
_cell_length_b 5.591
_cell_length_c 5.591
_cell_angle_alpha 60.00
_cell_angle_beta 60.00
_cell_angle_gamma 60.00
loop_
_atom_site_label
_atom_site_type_symbol
_atom_site_fract_x
_atom_site_fract_y
_atom_site_fract_z
W1 W 0.750 0.750 0.750
Na1 Na 0.000 0.000 0.000
Rb1 Rb 0.250 0.250 0.250
```